Material: Si2WBr
Method: DFT, PBE
State: relaxed

Calculated values
- energy above the most stable polymorph in this dataset (meV/atom) = 0
- raw formation energy (meV/atom) = 303
- space-group type = Imm2 (44)
- calculated density (g cm⁻³) = 6.00
- electronic total energy (eV/atom) = -6.065

Structure (POSCAR):
```
Si2WBr
1.0
3.0838 0.0000 0.0000
0.0000 3.5281 0.0000
0.0000 0.0000 16.2794
Si W Br
4 2 2
Direct
0.0000 0.0000 0.0000 Si
0.0000 0.5000 0.1002 Si
0.5000 0.0000 0.6002 Si
0.5000 0.5000 0.5000 Si
0.0000 0.0000 0.4397 W
0.5000 0.5000 0.9397 W
0.0000 0.5000 0.8142 Br
0.5000 0.0000 0.3142 Br
```